Below is a relaxed structure of Ac12InOs6, with properties calculated at the GGA-PBE level.

```
Ac12InOs6
1.0
8.8948 0.0002 -3.1024
-4.4474 7.7033 -3.1018
-0.0002 -0.0009 9.3073
Ac In Os
12 1 6
Cartesian
2.2384 0.9308 6.2033
0.4914 3.8293 -0.6324
3.9558 3.8732 3.7355
2.2088 6.7718 -3.1002
-2.5214 6.2299 0.0019
3.5618 1.4889 0.6328
0.8854 6.2136 2.4703
6.9686 1.4726 3.1012
5.8241 2.3403 -2.4695
0.3123 2.4041 3.1040
4.1349 5.2984 -0.0009
-1.3769 5.3622 5.5726
0.0000 0.0000 0.0000
1.3636 4.0600 5.3494
3.0836 3.6425 -2.2463
0.2487 6.8537 -0.8553
4.1985 0.8488 3.9584
6.0599 3.2107 0.8559
-1.6127 4.4919 2.2472
```

Properties
Total DFT energy (no corrections) ... -6.306 eV per atom
Energy of formation ... -0.021 eV per atom
Space-group type ... R-3 (148)